# 1
The following is a DFT calculation (PBE) of a relaxed structure of SmErSn.

Properties
Energy (eV per atom): -4.977
Energy above the lowest structure with this stoichiometry (meV per atom): 58

```
data_SmErSn
_chemical_formula_sum 'Sm4 Er4 Sn4'
_space_group_name_H-M_alt 'P n m a'
_space_group_IT_number 62
_cell_length_a 16.171
_cell_length_b 4.840
_cell_length_c 4.361
_cell_angle_alpha 90.00
_cell_angle_beta 90.00
_cell_angle_gamma 90.00
loop_
_space_group_symop_operation_xyz
'x,y,z'
'-x,-y,-z'
'-x+1/2,-y,z+1/2'
'x+1/2,y,-z+1/2'
'x+1/2,-y+1/2,-z+1/2'
'-x+1/2,y+1/2,z+1/2'
'-x,y+1/2,-z'
'x,-y+1/2,z'
loop_
_atom_site_label
_atom_site_fract_x
_atom_site_fract_y
_atom_site_fract_z
Sm1 0.075 0.250 0.002
Er1 0.248 0.250 0.502
Sn1 0.105 0.750 0.501
```

***

# 2
The following is a DFT calculation (PBE) of a relaxed structure of SmErSnTe.

Properties
Formation energy from raw total energies (meV/atom): -1046
Energy (eV per atom): -5.153

```
data_SmErSnTe
_chemical_formula_sum 'Sm3 Er3 Sn3 Te3'
_space_group_name_H-M_alt 'R 3 m'
_space_group_IT_number 160
_space_group_name_Hall 'R 3 -2"'
_cell_length_a 4.4132
_cell_length_b 4.4132
_cell_length_c 21.7494
_cell_angle_alpha 90.00
_cell_angle_beta 90.00
_cell_angle_gamma 120.00
loop_
_atom_site_label
_atom_site_fract_x
_atom_site_fract_y
_atom_site_fract_z
Sm1 0.0000 0.0000 0.0000
Er1 0.0000 0.0000 0.5083
Sn1 0.0000 0.0000 0.2517
Te1 0.0000 0.0000 0.7571
```

***

# 3
The following is a DFT calculation (PBE) of a relaxed structure of SmErTmSn.

Properties
Energy (eV per atom): -4.673

```
data_SmErTmSn
_chemical_formula_sum 'Sm4 Er4 Tm4 Sn4'
_space_group_name_H-M_alt 'F -4 3 m'
_space_group_IT_number 216
_space_group_name_Hall 'F -4 2 3'
_cell_length_a 7.640
_cell_length_b 7.640
_cell_length_c 7.640
_cell_angle_alpha 90.00
_cell_angle_beta 90.00
_cell_angle_gamma 90.00
loop_
_atom_site_label
_atom_site_fract_x
_atom_site_fract_y
_atom_site_fract_z
Sm1 0.000 0.000 0.000
Er1 0.000 0.000 0.500
Tm1 0.250 0.250 0.750
Sn1 0.250 0.250 0.250
```

***

# 4
The following is a DFT calculation (PBE) of a relaxed structure of SrSmEr.

Properties
Energy (eV per atom): -3.529
Energy above the lowest structure with this stoichiometry (meV per atom): 0

```
data_SrSmEr
_chemical_formula_sum 'Sr2 Sm2 Er2'
_space_group_name_H-M_alt 'I 4 m m'
_space_group_IT_number 107
_space_group_name_Hall 'I 4 -2'
_cell_length_a 3.742
_cell_length_b 3.742
_cell_length_c 16.118
_cell_angle_alpha 90.00
_cell_angle_beta 90.00
_cell_angle_gamma 90.00
loop_
_atom_site_label
_atom_site_fract_x
_atom_site_fract_y
_atom_site_fract_z
Sr1 0.000 0.000 0.000
Sm1 0.000 0.000 0.682
Er1 0.000 0.000 0.321
```

***

# 5
The following is a DFT calculation (PBE) of a relaxed structure of SrSmEr.

Properties
Energy (eV per atom): -3.507
Energy above the lowest structure with this stoichiometry (meV per atom): 22

```
data_SrSmEr
_chemical_formula_sum 'Sr1 Sm1 Er1'
_space_group_name_H-M_alt 'P 3 m 1'
_space_group_IT_number 156
_cell_length_a 3.7345
_cell_length_b 3.7345
_cell_length_c 9.2886
_cell_angle_alpha 90.00
_cell_angle_beta 90.00
_cell_angle_gamma 120.00
loop_
_space_group_symop_operation_xyz
'x,y,z'
'-y,x-y,z'
'-x+y,-x,z'
'-y,-x,z'
'-x+y,y,z'
'x,x-y,z'
loop_
_atom_site_label
_atom_site_fract_x
_atom_site_fract_y
_atom_site_fract_z
Sr1 0.0000 0.0000 0.0000
Sm1 0.3333 0.6667 0.6404
Er1 0.6667 0.3333 0.3479
```

***

# 6
The following is a DFT calculation (PBE) of a relaxed structure of Sr3Sm2ErTe6.

Properties
Formation energy from raw total energies (meV/atom): -1510
Energy (eV per atom): -4.668

```
data_Sr3Sm2ErTe6
_chemical_formula_sum 'Sr6 Sm4 Er2 Te12'
_space_group_name_H-M_alt 'C 1 2/m 1'
_space_group_IT_number 12
_cell_length_a 7.826
_cell_length_b 13.533
_cell_length_c 8.008
_cell_angle_alpha 90.00
_cell_angle_beta 109.02
_cell_angle_gamma 90.00
loop_
_space_group_symop_operation_xyz
'x,y,z'
'-x,-y,-z'
'-x,y,-z'
'x,-y,z'
'x+1/2,y+1/2,z'
'-x+1/2,-y+1/2,-z'
'-x+1/2,y+1/2,-z'
'x+1/2,-y+1/2,z'
loop_
_atom_site_label
_atom_site_fract_x
_atom_site_fract_y
_atom_site_fract_z
Sr1 0.000 0.000 0.000
Sr2 0.000 0.330 0.000
Sm1 0.000 0.165 0.500
Er1 0.000 0.500 0.500
Te1 0.241 0.337 0.733
Te2 0.247 0.500 0.264
```

***

# 7
The following is a DFT calculation (PBE) of a relaxed structure of SmEr2Ta.

Properties
Energy (eV per atom): -5.823

```
data_SmEr2Ta
_chemical_formula_sum 'Sm3 Er6 Ta3'
_space_group_name_H-M_alt 'R -3 m'
_space_group_IT_number 166
_space_group_name_Hall '-R 3 2"'
_cell_length_a 3.2662
_cell_length_b 3.2662
_cell_length_c 35.1633
_cell_angle_alpha 90.00
_cell_angle_beta 90.00
_cell_angle_gamma 120.00
loop_
_atom_site_label
_atom_site_fract_x
_atom_site_fract_y
_atom_site_fract_z
Sm1 0.0000 0.0000 0.0000
Er1 0.0000 0.0000 0.4170
Ta1 0.0000 0.0000 0.5000
```

***

# 8
The following is a DFT calculation (PBE) of a relaxed structure of SmErTa.

Properties
Energy (eV per atom): -6.661

```
data_SmErTa
_chemical_formula_sum 'Sm2 Er2 Ta2'
_space_group_name_H-M_alt 'P 4/n m m'
_space_group_IT_number 129
_cell_length_a 4.524
_cell_length_b 4.524
_cell_length_c 8.074
_cell_angle_alpha 90.00
_cell_angle_beta 90.00
_cell_angle_gamma 90.00
loop_
_space_group_symop_operation_xyz
'x,y,z'
'-x,-y,-z'
'-y+1/2,x,z'
'y+1/2,-x,-z'
'-x+1/2,-y+1/2,z'
'x+1/2,y+1/2,-z'
'y,-x+1/2,z'
'-y,x+1/2,-z'
'x+1/2,-y,-z'
'-x+1/2,y,z'
'-y,-x,-z'
'y,x,z'
'-x,y+1/2,-z'
'x,-y+1/2,z'
'y+1/2,x+1/2,-z'
'-y+1/2,-x+1/2,z'
loop_
_atom_site_label
_atom_site_fract_x
_atom_site_fract_y
_atom_site_fract_z
Sm1 0.250 0.250 0.212
Er1 0.250 0.250 0.766
Ta1 0.250 0.750 0.500
```

***

# 9
The following is a DFT calculation (PBE) of a relaxed structure of Tb12SmEr7.

Properties
Energy (eV per atom): -3.900
Energy above the lowest structure with this stoichiometry (meV per atom): 411

```
data_Tb12SmEr7
_chemical_formula_sum 'Tb24 Sm2 Er14'
_space_group_name_H-M_alt 'I m -3 m'
_space_group_IT_number 229
_space_group_name_Hall '-I 4 2 3'
_cell_length_a 11.294
_cell_length_b 11.294
_cell_length_c 11.294
_cell_angle_alpha 90.00
_cell_angle_beta 90.00
_cell_angle_gamma 90.00
loop_
_atom_site_label
_atom_site_fract_x
_atom_site_fract_y
_atom_site_fract_z
Tb1 0.000 0.254 0.254
Sm1 0.000 0.000 0.000
Er1 0.000 0.000 0.500
Er2 0.250 0.250 0.250
```

***

# 10
The following is a DFT calculation (PBE) of a relaxed structure of Tb5Sm5Er2.

Properties
Energy (eV per atom): -4.639

```
data_Tb5Sm5Er2
_chemical_formula_sum 'Tb10 Sm10 Er4'
_space_group_name_H-M_alt 'C 1 2/m 1'
_space_group_IT_number 12
_cell_length_a 15.182
_cell_length_b 5.057
_cell_length_c 11.322
_cell_angle_alpha 90.00
_cell_angle_beta 116.54
_cell_angle_gamma 90.00
loop_
_space_group_symop_operation_xyz
'x,y,z'
'-x,-y,-z'
'-x,y,-z'
'x,-y,z'
'x+1/2,y+1/2,z'
'-x+1/2,-y+1/2,-z'
'-x+1/2,y+1/2,-z'
'x+1/2,-y+1/2,z'
loop_
_atom_site_label
_atom_site_fract_x
_atom_site_fract_y
_atom_site_fract_z
Tb1 0.000 0.000 0.000
Tb2 0.082 0.000 0.749
Tb3 0.167 0.000 0.500
Sm1 0.000 0.500 0.500
Sm2 0.165 0.500 0.999
Sm3 0.249 0.000 0.250
Er1 0.083 0.500 0.251
```

***

# 11
The following is a DFT calculation (PBE) of a relaxed structure of TbSm4Er8.

Properties
Energy (eV per atom): -4.099

```
data_TbSm4Er8
_chemical_formula_sum 'Tb1 Sm4 Er8'
_space_group_name_H-M_alt 'P m -3 m'
_space_group_IT_number 221
_space_group_name_Hall '-P 4 2 3'
_cell_length_a 7.742
_cell_length_b 7.742
_cell_length_c 7.742
_cell_angle_alpha 90.00
_cell_angle_beta 90.00
_cell_angle_gamma 90.00
loop_
_atom_site_label
_atom_site_fract_x
_atom_site_fract_y
_atom_site_fract_z
Tb1 0.000 0.000 0.000
Sm1 0.000 0.000 0.500
Sm2 0.500 0.500 0.500
Er1 0.260 0.260 0.260
```

***

# 12
The following is a DFT calculation (PBE) of a relaxed structure of Tb3Sm2Er7.

Properties
Energy (eV per atom): -4.495
Energy above the lowest structure with this stoichiometry (meV per atom): 28

```
data_Tb3Sm2Er7
_chemical_formula_sum 'Tb6 Sm4 Er14'
_space_group_name_H-M_alt 'C m m m'
_space_group_IT_number 65
_space_group_name_Hall '-C 2 2'
_cell_length_a 5.653
_cell_length_b 37.610
_cell_length_c 3.584
_cell_angle_alpha 90.00
_cell_angle_beta 90.00
_cell_angle_gamma 90.00
loop_
_atom_site_label
_atom_site_fract_x
_atom_site_fract_y
_atom_site_fract_z
Tb1 0.000 0.000 0.000
Tb2 0.000 0.186 0.000
Sm1 0.000 0.353 0.500
Er1 0.000 0.090 0.500
Er2 0.000 0.270 0.500
Er3 0.000 0.429 0.000
Er4 0.000 0.500 0.500
```

***

# 13
The following is a DFT calculation (PBE) of a relaxed structure of Tb3Sm3Er8.

Properties
Energy (eV per atom): -4.498

```
data_Tb3Sm3Er8
_chemical_formula_sum 'Tb6 Sm6 Er16'
_space_group_name_H-M_alt 'I m m m'
_space_group_IT_number 71
_space_group_name_Hall '-I 2 2'
_cell_length_a 5.608
_cell_length_b 10.739
_cell_length_c 14.929
_cell_angle_alpha 90.00
_cell_angle_beta 90.00
_cell_angle_gamma 90.00
loop_
_atom_site_label
_atom_site_fract_x
_atom_site_fract_y
_atom_site_fract_z
Tb1 0.000 0.000 0.000
Tb2 0.000 0.297 0.000
Sm1 0.000 0.000 0.500
Sm2 0.000 0.500 0.183
Er1 0.000 0.160 0.221
Er2 0.000 0.342 0.397
```

***

# 14
The following is a DFT calculation (PBE) of a relaxed structure of Tb3SmEr5.

Properties
Energy (eV per atom): -4.276
Energy above the lowest structure with this stoichiometry (meV per atom): 0

```
data_Tb3SmEr5
_chemical_formula_sum 'Tb12 Sm4 Er20'
_space_group_name_H-M_alt 'C 1 2/c 1'
_space_group_IT_number 15
_cell_length_a 17.135
_cell_length_b 6.175
_cell_length_c 11.196
_cell_angle_alpha 90.00
_cell_angle_beta 91.12
_cell_angle_gamma 90.00
loop_
_space_group_symop_operation_xyz
'x,y,z'
'-x,-y,-z'
'-x,y,-z+1/2'
'x,-y,z+1/2'
'x+1/2,y+1/2,z'
'-x+1/2,-y+1/2,-z'
'-x+1/2,y+1/2,-z+1/2'
'x+1/2,-y+1/2,z+1/2'
loop_
_atom_site_label
_atom_site_fract_x
_atom_site_fract_y
_atom_site_fract_z
Tb1 0.000 0.000 0.000
Tb2 0.164 0.285 0.085
Sm1 0.000 0.123 0.250
Er1 0.000 0.404 0.750
Er2 0.165 0.274 0.411
Er3 0.172 0.200 0.746
```

***

# 15
The following is a DFT calculation (PBE) of a relaxed structure of TbSm3Er5.

Properties
Energy (eV per atom): -4.094
Energy above the lowest structure with this stoichiometry (meV per atom): 352

```
data_TbSm3Er5
_chemical_formula_sum 'Tb4 Sm12 Er20'
_space_group_name_H-M_alt 'C 1 2/m 1'
_space_group_IT_number 12
_cell_length_a 15.238
_cell_length_b 11.274
_cell_length_c 9.962
_cell_angle_alpha 90.00
_cell_angle_beta 130.68
_cell_angle_gamma 90.00
loop_
_space_group_symop_operation_xyz
'x,y,z'
'-x,-y,-z'
'-x,y,-z'
'x,-y,z'
'x+1/2,y+1/2,z'
'-x+1/2,-y+1/2,-z'
'-x+1/2,y+1/2,-z'
'x+1/2,-y+1/2,z'
loop_
_atom_site_label
_atom_site_fract_x
_atom_site_fract_y
_atom_site_fract_z
Tb1 0.248 0.000 0.399
Sm1 0.000 0.000 0.000
Sm2 0.000 0.500 0.500
Sm3 0.009 0.500 0.808
Sm4 0.024 0.000 0.364
Er1 0.000 0.259 0.000
Er2 0.157 0.250 0.751
Er3 0.217 0.500 0.225
Er4 0.223 0.000 0.037
```

***

# 16
The following is a DFT calculation (PBE) of a relaxed structure of Tb5Sm2Er.

Properties
Energy (eV per atom): -4.629

```
data_Tb5Sm2Er
_chemical_formula_sum 'Tb10 Sm4 Er2'
_space_group_name_H-M_alt 'P b a m'
_space_group_IT_number 55
_cell_length_a 7.145
_cell_length_b 14.291
_cell_length_c 5.040
_cell_angle_alpha 90.00
_cell_angle_beta 90.00
_cell_angle_gamma 90.00
loop_
_space_group_symop_operation_xyz
'x,y,z'
'-x,-y,-z'
'-x,-y,z'
'x,y,-z'
'x+1/2,-y+1/2,-z'
'-x+1/2,y+1/2,z'
'-x+1/2,y+1/2,-z'
'x+1/2,-y+1/2,z'
loop_
_atom_site_label
_atom_site_fract_x
_atom_site_fract_y
_atom_site_fract_z
Tb1 0.000 0.000 0.000
Tb2 0.000 0.250 0.000
Tb3 0.250 0.125 0.500
Sm1 0.250 0.375 0.500
Er1 0.000 0.500 0.000
```

***

# 17
The following is a DFT calculation (PBE) of a relaxed structure of Tb6SmEr3.

Properties
Energy (eV per atom): -4.494
Energy above the lowest structure with this stoichiometry (meV per atom): 0

```
data_Tb6SmEr3
_chemical_formula_sum 'Tb24 Sm4 Er12'
_space_group_name_H-M_alt 'C m c 21'
_space_group_IT_number 36
_cell_length_a 9.627
_cell_length_b 20.941
_cell_length_c 6.370
_cell_angle_alpha 90.00
_cell_angle_beta 90.00
_cell_angle_gamma 90.00
loop_
_space_group_symop_operation_xyz
'x,y,z'
'-x,-y,z+1/2'
'-x,y,z'
'x,-y,z+1/2'
'x+1/2,y+1/2,z'
'-x+1/2,-y+1/2,z+1/2'
'-x+1/2,y+1/2,z'
'x+1/2,-y+1/2,z+1/2'
loop_
_atom_site_label
_atom_site_fract_x
_atom_site_fract_y
_atom_site_fract_z
Tb1 0.000 0.015 0.000
Tb2 0.000 0.301 0.978
Tb3 0.176 0.281 0.517
Tb4 0.180 0.441 0.761
Sm1 0.000 0.161 0.198
Er1 0.000 0.419 0.285
Er2 0.169 0.126 0.674
```

***

# 18
The following is a DFT calculation (PBE) of a relaxed structure of Tb4SmEr7.

Properties
Energy (eV per atom): -4.318
Energy above the lowest structure with this stoichiometry (meV per atom): 193

```
data_Tb4SmEr7
_chemical_formula_sum 'Tb8 Sm2 Er14'
_space_group_name_H-M_alt 'C 1 2/m 1'
_space_group_IT_number 12
_cell_length_a 12.023
_cell_length_b 5.825
_cell_length_c 12.602
_cell_angle_alpha 90.00
_cell_angle_beta 118.05
_cell_angle_gamma 90.00
loop_
_space_group_symop_operation_xyz
'x,y,z'
'-x,-y,-z'
'-x,y,-z'
'x,-y,z'
'x+1/2,y+1/2,z'
'-x+1/2,-y+1/2,-z'
'-x+1/2,y+1/2,-z'
'x+1/2,-y+1/2,z'
loop_
_atom_site_label
_atom_site_fract_x
_atom_site_fract_y
_atom_site_fract_z
Tb1 0.135 0.000 0.275
Tb2 0.243 0.500 0.180
Sm1 0.000 0.500 0.500
Er1 0.000 0.000 0.500
Er2 0.062 0.500 0.824
Er3 0.134 0.000 0.001
Er4 0.211 0.500 0.423
```

***

# 19
The following is a DFT calculation (PBE) of a relaxed structure of Tb2Sm3Er2.

Properties
Energy (eV per atom): -4.535
Energy above the lowest structure with this stoichiometry (meV per atom): 97

```
data_Tb2Sm3Er2
_chemical_formula_sum 'Tb4 Sm6 Er4'
_space_group_name_H-M_alt 'C 1 2/m 1'
_space_group_IT_number 12
_cell_length_a 17.492
_cell_length_b 3.509
_cell_length_c 8.535
_cell_angle_alpha 90.00
_cell_angle_beta 118.99
_cell_angle_gamma 90.00
loop_
_space_group_symop_operation_xyz
'x,y,z'
'-x,-y,-z'
'-x,y,-z'
'x,-y,z'
'x+1/2,y+1/2,z'
'-x+1/2,-y+1/2,-z'
'-x+1/2,y+1/2,-z'
'x+1/2,-y+1/2,z'
loop_
_atom_site_label
_atom_site_fract_x
_atom_site_fract_y
_atom_site_fract_z
Tb1 0.065 0.000 0.411
Sm1 0.000 0.500 0.000
Sm2 0.212 0.500 0.299
Er1 0.146 0.500 0.826
```

***

# 20
The following is a DFT calculation (PBE) of a relaxed structure of Tb5Sm2Er2.

Properties
Energy (eV per atom): -4.414
Energy above the lowest structure with this stoichiometry (meV per atom): 110

```
data_Tb5Sm2Er2
_chemical_formula_sum 'Tb20 Sm8 Er8'
_space_group_name_H-M_alt 'I m a 2'
_space_group_IT_number 46
_cell_length_a 14.859
_cell_length_b 11.793
_cell_length_c 6.718
_cell_angle_alpha 90.00
_cell_angle_beta 90.00
_cell_angle_gamma 90.00
loop_
_space_group_symop_operation_xyz
'x,y,z'
'-x,-y,z'
'-x+1/2,y,z'
'x+1/2,-y,z'
'x+1/2,y+1/2,z+1/2'
'-x+1/2,-y+1/2,z+1/2'
'-x,y+1/2,z+1/2'
'x,-y+1/2,z+1/2'
loop_
_atom_site_label
_atom_site_fract_x
_atom_site_fract_y
_atom_site_fract_z
Tb1 0.051 0.249 0.000
Tb2 0.143 0.734 0.314
Tb3 0.250 0.243 0.305
Sm1 0.000 0.000 0.682
Sm2 0.250 0.508 0.102
Er1 0.127 0.501 0.648
```